Here is BaV3F after structural relaxation from the Alexandria database. Energies are from PBE with a Hubbard U.

Lattice parameters (Å, degrees): 4.9399 4.9399 4.9399 90.00 90.00 90.00
Closest atoms and distances in Å follow each position.
Space group Pm-3m (No. 221)
Unique sites:
Ba: 0.0000 0.0000 0.0000 [1 per cell]  12 V 3.49
V: 0.0000 0.5000 0.5000 [3 per cell]  2 F 2.47
F: 0.5000 0.5000 0.5000 [1 per cell]  6 V 2.47

Computed properties:
The calculation puts the energy at -0.3384 Ry per atom. The value obtained for the mass density is 4.26 g cm⁻³.